# Nd2I3O | the Alexandria database | PBE | optimized geometry
data_Nd2I3O
_chemical_formula_sum 'Nd8 I12 O4'
_space_group_name_H-M_alt 'C 1 2/m 1'
_space_group_IT_number 12
_cell_length_a 21.4548
_cell_length_b 4.2117
_cell_length_c 11.7385
_cell_angle_alpha 90.00
_cell_angle_beta 112.38
_cell_angle_gamma 90.00
loop_
_space_group_symop_operation_xyz
'x,y,z'
'-x,-y,-z'
'-x,y,-z'
'x,-y,z'
'x+1/2,y+1/2,z'
'-x+1/2,-y+1/2,-z'
'-x+1/2,y+1/2,-z'
'x+1/2,-y+1/2,z'
loop_
_atom_site_label
_atom_site_type_symbol
_atom_site_fract_x
_atom_site_fract_y
_atom_site_fract_z
Nd1 Nd 0.0718 0.0000 0.4697
Nd2 Nd 0.0751 0.5000 0.7458
I1 I 0.0739 0.5000 0.2578
I2 I 0.1388 0.0000 0.9644
I3 I 0.1892 0.5000 0.6336
O1 O 0.0446 0.0000 0.6450
# Crystal system: monoclinic

# Nd2IO | the Alexandria database | PBE | optimized geometry
data_Nd2IO
_chemical_formula_sum 'Nd6 I3 O3'
_space_group_name_H-M_alt 'R -3 m'
_space_group_IT_number 166
_space_group_name_Hall '-R 3 2"'
_cell_length_a 3.8083
_cell_length_b 3.8083
_cell_length_c 22.8612
_cell_angle_alpha 90.00
_cell_angle_beta 90.00
_cell_angle_gamma 120.00
loop_
_atom_site_label
_atom_site_type_symbol
_atom_site_fract_x
_atom_site_fract_y
_atom_site_fract_z
Nd1 Nd 0.0000 0.0000 0.2231
I1 I 0.0000 0.0000 0.0000
O1 O 0.0000 0.0000 0.5000
# Density of states at the Fermi level in states/eV/atom: 0.768
# Crystal system: trigonal

# Nd2IO6 | the Alexandria database | PBE | optimized geometry
data_Nd2IO6
_chemical_formula_sum 'Nd4 I2 O12'
_space_group_name_H-M_alt 'P 1 21/c 1'
_space_group_IT_number 14
_cell_length_a 5.7315
_cell_length_b 6.0130
_cell_length_c 9.6435
_cell_angle_alpha 90.00
_cell_angle_beta 119.70
_cell_angle_gamma 90.00
loop_
_space_group_symop_operation_xyz
'x,y,z'
'-x,-y,-z'
'-x,y+1/2,-z+1/2'
'x,-y+1/2,z+1/2'
loop_
_atom_site_label
_atom_site_type_symbol
_atom_site_fract_x
_atom_site_fract_y
_atom_site_fract_z
Nd1 Nd 0.1949 0.0711 0.2367
I1 I 0.5000 0.0000 0.0000
O1 O 0.1711 0.1788 0.9513
O2 O 0.2429 0.7410 0.8941
O3 O 0.4568 0.0983 0.7919
# Density of states at the Fermi level in states/eV/atom: 0.497
# Crystal system: monoclinic

The records above give, respectively, spin magnetization values of 0.00 0.00 0.00 μB per cell.
The records above give, respectively, theoretical density values of 4.64 7.48 5.88 Mg/m³.
The records above give, respectively, total energy values of -5.149 -5.707 -6.536 eV/atom.